Entry 1:
## PrAu3 (GGA-PBE)

Data for a geometry-optimized PrAu3 structure.

Lattice parameters (Å, degrees): 4.482 4.482 4.482 90.00 90.00 90.00
Atoms (fractional coordinates):
Pr  0.000  0.000  0.000
Au  0.000  0.500  0.500
Au  0.500  0.000  0.500
Au  0.500  0.500  0.000

Formation energy   -466 meV/atom
Density   13.50 g cm⁻³
Total magnetization   0.0 μB per formula unit

***

Entry 2:
## PrAu2 (GGA-PBE)

Data for a geometry-optimized PrAu2 structure.

Lattice parameters (Å, degrees): 9.631 7.168 4.721 90.00 119.09 90.00
Atoms (fractional coordinates):
Pr  0.217  0.000  0.467
Pr  0.283  0.500  0.533
Pr  0.717  0.500  0.467
Pr  0.783  0.000  0.533
Au  0.087  0.282  0.836
Au  0.087  0.718  0.836
Au  0.413  0.218  0.164
Au  0.413  0.782  0.164
Au  0.587  0.218  0.836
Au  0.587  0.782  0.836
Au  0.913  0.282  0.164
Au  0.913  0.718  0.164

Formation energy   -757 meV/atom
Density   12.47 g cm⁻³
Total magnetization   0.0 μB per formula unit

***

Entry 3:
## Pr4Au (GGA-PBE)

Data for a geometry-optimized Pr4Au structure.

Lattice parameters (Å, degrees): 5.808 5.808 5.808 90.00 90.00 90.00
Atoms (fractional coordinates):
Pr  0.000  0.000  0.000
Pr  0.000  0.500  0.500
Pr  0.500  0.000  0.500
Pr  0.500  0.500  0.000
Au  0.500  0.500  0.500

Formation energy   -19 meV/atom
Density   6.45 g cm⁻³
Total magnetization   0.0 μB per formula unit